# 1
This record from Alexandria via LeMat-Bulk describes a geometry-optimized TcBiSe structure. The functional is PBE.

```
12
Lattice="6.7178 0.0000 0.0000 0.0000 6.5427 0.0000 -2.9564 0.0000 6.0655" Properties=species:S:1:pos:R:3 pbc="T T T"
Tc 0.7243 0.0543 1.1104
Tc -0.7539 3.2170 4.1431
Tc 4.5153 3.3257 1.9224
Tc 3.0371 6.4884 4.9551
Bi 2.0280 4.1757 0.7831
Bi 0.5498 5.6384 3.8158
Bi 3.2116 0.9044 2.2497
Bi 1.7334 2.3670 5.2824
Se -1.3914 0.8958 4.9990
Se 0.0868 2.3756 1.9663
Se 3.6746 4.1671 4.0992
Se 5.1528 5.6470 1.0664
```

Properties
- formation energy from raw total energies (eV per atom) = -0.102
- SG = P2_1/c (14)

---

# 2
This record from Alexandria via LeMat-Bulk describes a geometry-optimized SrPt3O6 structure. The functional is PBE.

```
10
Lattice="3.7002 -5.2344 0.0000 3.7002 5.2344 0.0000 0.0000 0.0000 3.3216" Properties=species:S:1:pos:R:3 pbc="T T T"
Sr 0.0000 0.0000 0.0000
Pt 1.8501 2.6172 1.6608
Pt 1.8501 -2.6172 1.6608
Pt 3.7002 0.0000 0.0000
O 2.2165 1.3816 0.0000
O 3.7002 3.4549 1.6608
O 2.2165 -1.3816 0.0000
O 5.1840 1.3816 0.0000
O 3.7002 -3.4549 1.6608
O 5.1840 -1.3816 0.0000
```

Properties
- formation energy from raw total energies (eV per atom) = -0.999
- SG = Cmmm (65)

---

# 3
This record from Alexandria via LeMat-Bulk describes a geometry-optimized KCrAu2 structure. The functional is PBE.

```
4
Lattice="5.0081 -1.6536 0.0000 5.0081 1.6536 0.0000 -1.2737 0.0000 6.1746" Properties=species:S:1:pos:R:3 pbc="T T T"
K 0.0000 0.0000 0.0000
Cr 7.4479 0.0000 2.5380
Au 1.4141 0.0000 4.3918
Au 4.5461 0.0000 2.9366
```

Properties
- SG = Cm (8)
- energy of formation from the pure elements (eV/atom) = 0.23

---

# 4
This record from Alexandria via LeMat-Bulk describes a geometry-optimized NaLa2Gd structure. The functional is PBE.

```
4
Lattice="6.0962 0.0000 0.0000 0.0000 6.0962 0.0000 0.0000 0.0000 3.7826" Properties=species:S:1:pos:R:3 pbc="T T T"
Na 0.0000 0.0000 0.0000
La 0.0000 3.0481 1.8913
La 3.0481 0.0000 1.8913
Gd 3.0481 3.0481 0.0000
```

Properties
- SG = P4/mmm (123)
- energy of formation from the pure elements (eV/atom) = 0.17

---

# 5
This record from Alexandria via LeMat-Bulk describes a geometry-optimized K2IrOs3O12 structure. The functional is PBE.

```
18
Lattice="3.6278 2.0945 5.8324 -3.6278 2.0945 5.8324 0.0000 -4.1891 5.8324" Properties=species:S:1:pos:R:3 pbc="T T T"
K 0.0000 0.0000 2.2466
K 0.0000 0.0000 15.2507
Ir 0.0000 0.0000 8.7486
Os -1.8139 -1.0473 5.8324
Os -1.8139 1.0473 11.6648
Os 0.0000 2.0945 5.8324
O -1.4413 -0.8322 7.6784
O 0.0000 -1.5907 5.4855
O -1.3776 0.7954 5.4855
O 0.0000 -1.6643 9.8188
O -1.4413 0.8322 9.8188
O -1.3776 -0.7954 12.0118
O 1.3776 0.7954 5.4855
O 1.4413 -0.8322 7.6784
O 0.0000 1.6643 7.6784
O 1.3776 -0.7954 12.0118
O 0.0000 1.5907 12.0118
O 1.4413 0.8322 9.8188
```

Properties
- formation energy from raw total energies (eV per atom) = -1.132
- SG = R-3m (166)

---

# 6
This record from Alexandria via LeMat-Bulk describes a geometry-optimized AcPmAlPb structure. The functional is PBE.

```
4
Lattice="0.0000 3.9578 3.9578 3.9578 0.0000 3.9578 3.9578 3.9578 0.0000" Properties=species:S:1:pos:R:3 pbc="T T T"
Ac 0.0000 0.0000 0.0000
Pm 3.9578 3.9578 3.9578
Al 1.9789 1.9789 1.9789
Pb 5.9367 5.9367 5.9367
```

Properties
- SG = F-43m (216)
- energy of formation from the pure elements (eV/atom) = -0.31

---

# 7
This record from Alexandria via LeMat-Bulk describes a geometry-optimized AgSnB structure. The functional is PBE.

```
6
Lattice="3.1400 0.0000 0.0000 1.4984 5.5343 0.0000 0.6970 0.4359 6.2092" Properties=species:S:1:pos:R:3 pbc="T T T"
Ag 0.0000 0.0000 0.0000
Ag 2.2498 1.3046 3.9075
Sn 2.9991 4.2919 2.3535
Sn 3.7428 3.5346 5.4650
B 1.4282 1.5394 1.6357
B 2.9975 1.8778 1.5755
```

Properties
- SG = P1 (1)
- energy of formation from the pure elements (eV/atom) = 0.31

---

# 8
This record from Alexandria via LeMat-Bulk describes a geometry-optimized LiGeB structure. The functional is PBE.

```
6
Lattice="4.3676 0.0000 0.0000 0.0000 4.7514 0.0000 -1.0980 0.0000 4.2748" Properties=species:S:1:pos:R:3 pbc="T T T"
Li 0.0000 0.0000 0.0000
Li 1.6348 0.0000 2.1374
Ge -0.0230 2.3757 3.4839
Ge 3.2927 2.3757 0.7910
B -0.5490 0.7923 2.1374
B -0.5490 3.9590 2.1374
```

Properties
- SG = P2/m (10)
- energy of formation from the pure elements (eV/atom) = 0.04

---

# 9
This record from Alexandria via LeMat-Bulk describes a geometry-optimized Sr2FeOs structure. The functional is PBE.

```
4
Lattice="4.0543 0.0000 0.0000 0.0000 2.4203 5.5550 0.0000 -2.4203 5.5550" Properties=species:S:1:pos:R:3 pbc="T T T"
Sr 0.0000 0.0000 0.0000
Sr 2.0271 0.0000 3.1409
Fe 0.0000 0.0000 7.6103
Os 2.0271 0.0000 6.6051
```

Properties
- SG = Amm2 (38)
- energy of formation from the pure elements (eV/atom) = 0.44

---

# 10
This record from Alexandria via LeMat-Bulk describes a geometry-optimized Cs3Au structure. The functional is PBE.

```
4
Lattice="-2.4461 7.1748 4.3868 2.4461 -7.1748 4.3868 2.4461 7.1748 -4.3868" Properties=species:S:1:pos:R:3 pbc="T T T"
Cs 0.0000 0.0000 0.0000
Cs 2.4461 4.8277 -0.2773
Cs 0.0000 2.3470 4.1095
Au 2.4461 0.0000 2.6878
```

Properties
- SG = Imm2 (44)
- energy of formation from the pure elements (eV/atom) = -0.16

---

# 11
This record from Alexandria via LeMat-Bulk describes a geometry-optimized Na5Pm3Cl12 structure. The functional is PBE.

```
80
Lattice="-8.1152 8.1152 8.1152 8.1152 -8.1152 8.1152 8.1152 8.1152 -8.1152" Properties=species:S:1:pos:R:3 pbc="T T T"
Na 0.0000 0.0000 0.0000
Na 4.0576 4.0576 -4.0576
Na 4.0576 -4.0576 4.0576
Na 8.1152 0.0000 0.0000
Na 12.1728 2.0288 0.0000
Na 8.1152 -4.0576 6.0864
Na 6.0864 8.1152 -4.0576
Na 6.0864 0.0000 4.0576
Na 4.0576 6.0864 0.0000
Na 8.1152 4.0576 2.0288
Na -4.0576 4.0576 4.0576
Na 0.0000 8.1152 0.0000
Na 0.0000 0.0000 8.1152
Na 4.0576 4.0576 4.0576
Na 0.0000 4.0576 6.0864
Na 4.0576 2.0288 8.1152
Na 2.0288 8.1152 4.0576
Na 2.0288 0.0000 12.1728
Na 0.0000 12.1728 2.0288
Na -4.0576 6.0864 8.1152
Pm 4.0576 2.0288 0.0000
Pm 8.1152 4.0576 -2.0288
Pm 2.0288 0.0000 4.0576
Pm 10.1440 0.0000 4.0576
Pm 0.0000 4.0576 2.0288
Pm 4.0576 -2.0288 8.1152
Pm 4.0576 10.1440 0.0000
Pm 8.1152 4.0576 6.0864
Pm -2.0288 8.1152 4.0576
Pm 6.0864 8.1152 4.0576
Pm 0.0000 4.0576 10.1440
Pm 4.0576 6.0864 8.1152
Cl 2.5054 -0.3257 1.1442
Cl 9.6674 5.2018 -4.3833
Cl 7.7895 -1.1442 2.5054
Cl 12.4985 -1.5522 2.9134
Cl 10.6206 0.3257 1.1442
Cl 9.6674 -2.9134 4.3833
Cl 1.1442 2.5054 -0.3257
Cl 11.0286 3.7319 -1.5522
Cl 5.2018 4.3833 -1.5522
Cl 6.9710 2.5054 0.3257
Cl -0.3257 1.1442 2.5054
Cl 4.3833 -1.5522 5.2018
Cl 7.7895 6.9710 -2.5054
Cl 4.3833 1.5522 2.9134
Cl 6.9710 -2.5054 7.7895
Cl 5.2018 -4.3833 9.6674
Cl 2.9134 4.3833 1.5522
Cl 9.2594 5.6098 0.3257
Cl 2.5054 7.7895 -1.1442
Cl 9.6674 2.9134 3.7319
Cl 4.3833 9.6674 -2.9134
Cl 7.7895 1.1442 5.6098
Cl 1.5522 2.9134 4.3833
Cl 2.5054 0.3257 6.9710
Cl 5.6098 7.7895 1.1442
Cl 6.5630 5.2018 3.7319
Cl 0.3257 6.9710 2.5054
Cl 3.7319 -1.5522 11.0286
Cl -1.5522 5.2018 4.3833
Cl 5.6098 0.3257 9.2594
Cl -1.1442 2.5054 7.7895
Cl 5.2018 3.7319 6.5630
Cl 2.9134 12.4985 -1.5522
Cl 1.1442 10.6206 0.3257
Cl 3.7319 6.5630 5.2018
Cl 0.3257 1.1442 10.6206
Cl 3.7319 9.6674 2.9134
Cl 8.4409 6.9710 5.6098
Cl 1.1442 5.6098 7.7895
Cl 2.9134 3.7319 9.6674
Cl -2.9134 4.3833 9.6674
Cl 6.9710 5.6098 8.4409
Cl -1.5522 11.0286 3.7319
Cl -2.5054 7.7895 6.9710
Cl -4.3833 9.6674 5.2018
Cl 0.3257 9.2594 5.6098
Cl -1.5522 2.9134 12.4985
Cl 5.6098 8.4409 6.9710
```

Properties
- formation energy from raw total energies (eV per atom) = -1.819
- SG = Ia-3d (230)

---

# 12
This record from Alexandria via LeMat-Bulk describes a geometry-optimized Pm2Ga3Cu4Sn structure. The functional is PBE.

```
10
Lattice="4.2669 0.0000 0.0000 0.0000 4.2669 0.0000 0.0000 0.0000 10.2552" Properties=species:S:1:pos:R:3 pbc="T T T"
Pm 0.0000 2.1334 2.4117
Pm 2.1334 0.0000 7.8435
Ga 0.0000 2.1334 9.0002
Ga 2.1334 0.0000 1.2550
Ga 2.1334 2.1334 5.1276
Cu 0.0000 0.0000 0.0000
Cu 0.0000 2.1334 6.6063
Cu 2.1334 0.0000 3.6489
Cu 2.1334 2.1334 0.0000
Sn 0.0000 0.0000 5.1276
```

Properties
- SG = P-4m2 (115)
- energy of formation from the pure elements (eV/atom) = -0.43

---

# 13
This record from Alexandria via LeMat-Bulk describes a geometry-optimized Tb5PrSmEr2 structure. The functional is PBE.

```
18
Lattice="2.8153 -9.9778 0.0000 2.8153 9.9778 0.0000 0.0000 0.0000 10.5870" Properties=species:S:1:pos:R:3 pbc="T T T"
Tb 2.8153 9.6376 5.2935
Tb 2.8153 4.3697 8.3182
Tb 2.8153 4.0259 1.9390
Tb 2.8153 2.1968 5.2802
Tb 2.8153 0.4463 2.2366
Tb 2.8153 -0.4463 7.5301
Tb 2.8153 -2.1968 10.5737
Tb 2.8153 -4.0259 7.2325
Tb 2.8153 -4.3697 3.0247
Tb 2.8153 -9.6376 0.0000
Pr 2.8153 1.6678 9.7783
Pr 2.8153 -1.6678 4.4848
Sm 2.8153 5.9770 5.1530
Sm 2.8153 -5.9770 10.4465
Er 2.8153 7.7605 2.2112
Er 2.8153 7.6967 8.4192
Er 2.8153 -7.6967 3.1257
Er 2.8153 -7.7605 7.5047
```

Properties
- SG = Cmc2_1 (36)
- energy of formation from the pure elements (eV/atom) = 0.16

---

# 14
This record from Alexandria via LeMat-Bulk describes a geometry-optimized Ag2TeO4 structure. The functional is PBE.

```
42
Lattice="4.5715 -4.7179 0.0000 4.5715 4.7179 0.0000 -0.3437 0.0000 13.9718" Properties=species:S:1:pos:R:3 pbc="T T T"
Ag 4.3137 4.2683 10.4788
Ag 3.1846 1.4111 6.0004
Ag 2.7417 0.5738 9.4225
Ag 4.4856 2.1196 3.4929
Ag 2.9136 -0.5738 2.4366
Ag 5.7866 1.4111 0.9855
Ag 3.0127 -1.4111 12.9862
Ag 5.8858 0.5738 11.5351
Ag 4.3137 -2.1196 10.4788
Ag 6.0577 -0.5738 4.5492
Ag 5.6147 -1.4111 7.9714
Ag 4.4856 -4.2683 3.4929
Te 0.0000 0.0000 0.0000
Te -0.1719 0.0000 6.9859
Te 2.3632 1.9429 12.5279
Te 2.5351 -1.9429 5.5421
Te 6.2642 1.9429 8.4297
Te 6.4361 -1.9429 1.4438
O 0.7827 0.7086 12.4645
O 1.2967 1.0745 7.6276
O 2.3532 2.0393 3.1403
O 3.8591 3.2580 12.6166
O 3.0641 1.4614 0.4745
O 0.9545 -0.7086 5.4787
O 4.7684 3.2580 8.3410
O 1.4686 -1.0745 0.6417
O 3.4962 0.5561 11.8879
O 3.6681 -0.5561 4.9020
O 2.1813 -2.0393 10.1261
O 2.8922 -1.4614 7.4604
O 5.9071 1.4614 6.5114
O 6.6180 2.0393 3.8456
O 5.1312 0.5561 9.0697
O 5.3031 -0.5561 2.0838
O 7.3307 1.0745 13.3300
O 4.0310 -3.2580 5.6307
O 7.8448 0.7086 8.4931
O 5.7353 -1.4614 13.4973
O 4.9403 -3.2580 1.3552
O 6.4462 -2.0393 10.8315
O 7.5026 -1.0745 6.3441
O 8.0167 -0.7086 1.5072
```

Properties
- formation energy from raw total energies (eV per atom) = -0.561
- SG = C2/c (15)

---

# 15
This record from Alexandria via LeMat-Bulk describes a geometry-optimized SmAg3Cl6 structure. The functional is PBE.

```
20
Lattice="7.0125 0.0000 0.0000 0.0000 6.9350 0.0000 -6.7533 0.0000 10.6960" Properties=species:S:1:pos:R:3 pbc="T T T"
Sm 0.0000 0.0000 0.0000
Sm -3.3767 3.4675 5.3480
Ag -3.2213 0.2179 8.1227
Ag 0.1554 3.2496 2.7747
Ag 0.1296 0.0000 5.3480
Ag 3.5063 3.4675 0.0000
Ag 0.1038 3.6854 7.9213
Ag 3.4805 6.7171 2.5733
Cl -2.2760 1.1928 4.3965
Cl -5.6527 2.2747 9.7445
Cl -1.0193 4.6736 4.7239
Cl -4.3959 5.7289 10.0719
Cl 0.9123 0.7484 2.4872
Cl -2.4644 2.7192 7.8352
Cl 2.7236 4.2159 2.8608
Cl -0.6531 6.1867 8.2088
Cl 4.6551 1.2061 0.6241
Cl 1.2784 2.2614 5.9721
Cl 5.9118 4.6604 0.9515
Cl 2.5352 5.7422 6.2994
```

Properties
- formation energy from raw total energies (eV per atom) = -1.144
- SG = P2_1/c (14)

---

# 16
This record from Alexandria via LeMat-Bulk describes a geometry-optimized Ac4Ag3Bi8 structure. The functional is PBE.

```
15
Lattice="4.7668 0.0000 0.0000 0.0000 4.7668 0.0000 0.0000 0.0000 21.2629" Properties=species:S:1:pos:R:3 pbc="T T T"
Ac 0.0000 2.3834 2.4596
Ac 0.0000 2.3834 13.3278
Ac 2.3834 0.0000 7.9351
Ac 2.3834 0.0000 18.8033
Ag 0.0000 0.0000 0.0000
Ag 0.0000 0.0000 10.6315
Ag 2.3834 2.3834 10.6315
Bi 0.0000 0.0000 5.1995
Bi 0.0000 0.0000 16.0634
Bi 0.0000 2.3834 8.7717
Bi 0.0000 2.3834 19.6430
Bi 2.3834 0.0000 1.6200
Bi 2.3834 0.0000 12.4913
Bi 2.3834 2.3834 5.2133
Bi 2.3834 2.3834 16.0496
```

Properties
- SG = P-4m2 (115)
- energy of formation from the pure elements (eV/atom) = -0.57

---

# 17
This record from Alexandria via LeMat-Bulk describes a geometry-optimized K2RbZnAu2 structure. The functional is PBE.

```
12
Lattice="4.7025 0.0000 0.0000 0.0000 9.2318 0.0000 0.0000 0.0000 9.4880" Properties=species:S:1:pos:R:3 pbc="T T T"
K 0.0000 0.7673 0.0000
K 0.0000 8.4645 4.7440
K 2.3512 1.7200 6.3675
K 2.3512 7.5118 1.6235
Rb 2.3512 4.1231 0.5922
Rb 2.3512 5.1087 5.3362
Zn 0.0000 2.6330 3.1958
Zn 0.0000 6.5988 7.9398
Au 0.0000 3.8927 7.6116
Au 0.0000 5.3391 2.8676
Au 2.3512 1.4563 2.9740
Au 2.3512 7.7754 7.7180
```

Properties
- SG = Pmc2_1 (26)
- energy of formation from the pure elements (eV/atom) = -0.20

---

# 18
This record from Alexandria via LeMat-Bulk describes a geometry-optimized Er2CoGe structure. The functional is PBE.

```
8
Lattice="5.7347 0.0000 0.0000 0.0000 3.9597 0.0000 -2.8628 0.0000 7.3404" Properties=species:S:1:pos:R:3 pbc="T T T"
Er -0.1057 0.9899 2.9915
Er 1.3923 2.9698 0.4061
Er 1.4795 0.9899 6.9343
Er 2.9776 2.9698 4.3489
Co -1.3983 0.9899 5.7575
Co 4.2702 2.9698 1.5829
Ge 0.0673 2.9698 5.2022
Ge 2.8046 0.9899 2.1382
```

Properties
- SG = P2_1/m (11)
- energy of formation from the pure elements (eV/atom) = -0.56